Material: CsZnNi2F8
Method: DFT, PBE+U
State: optimized geometry

```
CsZnNi2F8
1.0
-1.772 0.475 -4.310
-3.150 -3.403 0.620
-6.190 5.639 3.161
Cs Zn Ni F
1 1 2 8
Cartesian
-3.095 2.819 1.581
0.000 0.000 0.000
-7.658 3.148 0.782
-3.454 -0.438 -1.310
-3.891 -1.584 0.144
-3.426 -2.020 -2.511
-3.111 0.668 -2.821
-7.220 4.294 -0.673
-7.685 4.731 1.983
-8.001 2.042 2.293
-6.904 1.709 -0.088
-4.208 1.001 -0.441
```

Calculated values
As for the crystal system: triclinic. The raw total energy is -47.41 eV per cell.